DFT (meta-GGA SCAN) results for a crystal of AlPtBr2 relaxed with PBEsol.

Values from the calculation:
V: 82.7 Å³/cell
E_form (uncorrected): 335 meV per atom
SG: R-3m, No. 166

Unit cell a=5.9817 b=5.9817 c=5.9817 alpha=40.86 beta=40.86 gamma=40.86
With the nearest neighbours (Å) after each atom.
Fractional coordinates of all 4 atoms:
Al (0.0000, 0.0000, 0.0000)  6 Br 2.82
Pt (0.5000, 0.5000, 0.5000)  6 Br 2.72
Br (0.2439, 0.2439, 0.2439)  3 Pt 2.72, 3 Al 2.82
Br (0.7561, 0.7561, 0.7561)  3 Pt 2.72, 3 Al 2.82